No. 1
A relaxed structure of Li4PbAu3. Source: the Alexandria database, functional PBE-GGA.

DFT formation energy: -44.7 kJ per mole of atoms
DFT total energy: -3.113 eV/atom

Lattice parameters (Å, degrees): 4.432 4.432 6.874 90.00 90.00 90.00
Space group P4/mmm (No. 123)
Asymmetric unit:
Li (0.000, 0.500, 0.225)
Pb (0.000, 0.000, 0.500)
Au (0.000, 0.000, 0.000)
Au (0.500, 0.500, 0.000)
Au (0.500, 0.500, 0.500)

No. 2
A relaxed structure of Fe2RePb. Source: the Alexandria database, functional PBE-GGA.

DFT formation energy: 51.4 kJ per mole of atoms
DFT total energy: -7.738 eV/atom

Lattice parameters (Å, degrees): 2.985 2.985 7.279 90.00 90.00 90.00
Space group P4/mmm (No. 123)
Asymmetric unit:
Fe (0.000, 0.000, 0.203)
Re (0.500, 0.500, 0.000)
Pb (0.500, 0.500, 0.500)

No. 3
A relaxed structure of Cr3P2. Source: the Alexandria database, functional PBE-GGA.

DFT formation energy: 0.9 kJ per mole of atoms
DFT total energy: -7.928 eV/atom

Lattice parameters (Å, degrees): 2.7280 2.7280 27.5031 90.00 90.00 120.00
Space group R-3m (No. 166, hexagonal axes)
Asymmetric unit:
Cr (0.0000, 0.0000, 0.0000)
Cr (0.0000, 0.0000, 0.2010)
P (0.0000, 0.0000, 0.3994)

No. 4
A relaxed structure of NaCaTlRh. Source: the Alexandria database, functional PBE-GGA.

DFT formation energy: -13.3 kJ per mole of atoms
DFT total energy: -3.398 eV/atom

Lattice parameters (Å, degrees): 7.028 7.028 7.028 90.00 90.00 90.00
Space group F-43m (No. 216)
Asymmetric unit:
Na (0.000, 0.000, 0.000)
Ca (0.250, 0.250, 0.750)
Tl (0.250, 0.250, 0.250)
Rh (0.000, 0.000, 0.500)

No. 5
A relaxed structure of Zr2TcNi2. Source: the Alexandria database, functional PBE-GGA.

polymorph energy (0 for the lowest one): 0.0000 eV per atom
DFT formation energy: -24.6 kJ per mole of atoms
DFT total energy: -8.060 eV/atom

Lattice parameters (Å, degrees): 6.702 6.702 3.611 90.00 90.00 90.00
Space group P4/mbm (No. 127)
Asymmetric unit:
Zr (0.181, 0.319, 0.000)
Tc (0.000, 0.000, 0.500)
Ni (0.123, 0.623, 0.500)

No. 6
A relaxed structure of Tb7Pm3Tm. Source: the Alexandria database, functional PBE-GGA.

polymorph energy (0 for the lowest one): 0.0364 eV per atom
DFT formation energy: 16.8 kJ per mole of atoms
DFT total energy: -4.474 eV/atom

Lattice parameters (Å, degrees): 7.0844 7.0844 8.6720 90.00 90.00 120.00
Space group P3m1 (No. 156)
Asymmetric unit:
Tb (0.0000, 0.0000, 0.0000)
Tb (0.0019, 0.5010, 0.0024)
Tb (0.3315, 0.1658, 0.6749)
Pm (0.1668, 0.3336, 0.3395)
Tm (0.3333, 0.6667, 0.6782)

No. 7
A relaxed structure of Pu2NpTc. Source: the Alexandria database, functional PBE-GGA.

polymorph energy (0 for the lowest one): 0.0000 eV per atom
DFT formation energy: 18.0 kJ per mole of atoms
DFT total energy: -12.806 eV/atom

Lattice parameters (Å, degrees): 3.339 3.339 6.927 90.00 90.00 90.00
Space group P4/mmm (No. 123)
Asymmetric unit:
Pu (0.000, 0.000, 0.241)
Np (0.500, 0.500, 0.500)
Tc (0.500, 0.500, 0.000)

No. 8
A relaxed structure of Ho2NiSn3. Source: the Alexandria database, functional PBE-GGA.

DFT formation energy: -52.7 kJ per mole of atoms
DFT total energy: -5.037 eV/atom

Lattice parameters (Å, degrees): 11.027 4.541 7.194 90.00 129.03 90.00
Space group Cm (No. 8)
Asymmetric unit:
Ho (0.000, 0.000, 0.000)
Ho (0.131, 0.000, 0.609)
Ni (0.250, 0.500, 0.049)
Sn (0.229, 0.500, 0.395)
Sn (0.378, 0.000, 0.178)
Sn (0.464, 0.000, 0.683)

No. 9
A relaxed structure of Ce2DyAl. Source: the Alexandria database, functional PBE-GGA.

polymorph energy (0 for the lowest one): 0.1198 eV per atom
DFT formation energy: -6.0 kJ per mole of atoms
DFT total energy: -5.115 eV/atom

Lattice parameters (Å, degrees): 3.941 3.941 7.112 90.00 90.00 90.00
Space group P4/mmm (No. 123)
Asymmetric unit:
Ce (0.000, 0.000, 0.197)
Dy (0.500, 0.500, 0.500)
Al (0.500, 0.500, 0.000)

No. 10
A relaxed structure of ZrNbCoCu. Source: the Alexandria database, functional PBE-GGA.

DFT formation energy: -3.1 kJ per mole of atoms
DFT total energy: -7.487 eV/atom

Lattice parameters (Å, degrees): 6.348 6.348 6.348 90.00 90.00 90.00
Space group F-43m (No. 216)
Asymmetric unit:
Zr (0.000, 0.000, 0.000)
Nb (0.000, 0.000, 0.500)
Co (0.250, 0.250, 0.250)
Cu (0.250, 0.250, 0.750)

No. 11
A relaxed structure of Na2ZnHgH. Source: the Alexandria database, functional PBE-GGA.

DFT total energy: -1.514 eV/atom

Lattice parameters (Å, degrees): 4.860 4.860 3.993 90.00 90.00 90.00
Space group P4/mmm (No. 123)
Asymmetric unit:
Na (0.000, 0.500, 0.000)
Zn (0.000, 0.000, 0.500)
Hg (0.500, 0.500, 0.500)
H (0.000, 0.000, 0.000)

No. 12
A relaxed structure of CaCr2Re. Source: the Alexandria database, functional PBE-GGA.

polymorph energy (0 for the lowest one): 0.0588 eV per atom
DFT formation energy: 52.4 kJ per mole of atoms
DFT total energy: -7.881 eV/atom

Lattice parameters (Å, degrees): 2.995 3.715 6.574 90.00 90.00 90.00
Space group Pmmm (No. 47)
Asymmetric unit:
Ca (0.000, 0.000, 0.000)
Cr (0.500, 0.500, 0.347)
Re (0.000, 0.000, 0.500)